120
Lattice="13.1305 0.0000 0.0000 0.0000 8.2243 0.0000 0.0000 0.0000 10.3571" Properties=species:S:1:pos:R:3 comment="CoH17S2N5ClO4 | Alexandria | GGA+U | optimized geometry" energy_ev_per_atom=-5.09 vol_a3_per_fu=279.6 pbc="T T T"
Co 2.1211 2.0561 2.5196
Co 4.4442 6.1682 7.6982
Co 8.6863 2.0561 2.6589
Co 11.0095 6.1682 7.8375
H 0.0156 2.0561 7.3811
H 0.0816 1.0046 1.4214
H 0.0816 3.1076 1.4214
H 0.1795 0.4306 2.9690
H 0.1795 3.6816 2.9690
H 1.0934 2.0561 8.5038
H 1.1379 4.3090 1.7610
H 1.1379 8.0274 1.7610
H 1.2259 1.2279 4.8201
H 1.2259 2.8842 4.8201
H 2.4977 4.5702 7.2597
H 2.4977 7.7663 7.2597
H 2.5360 4.9663 8.8739
H 2.5360 7.3701 8.8739
H 2.6241 2.0561 5.0103
H 2.9768 4.3873 3.0938
H 2.9768 7.9492 3.0938
H 3.5885 0.2751 8.2724
H 3.5885 3.8370 8.2724
H 3.9412 6.1682 10.1888
H 4.0293 0.8542 3.6954
H 4.0293 3.2580 3.6954
H 4.0675 0.4580 2.0811
H 4.0675 3.6542 2.0811
H 5.3394 5.3401 9.9986
H 5.3394 6.9964 9.9986
H 5.4274 0.1969 6.9396
H 5.4274 3.9153 6.9396
H 5.4719 6.1682 3.3253
H 6.3858 4.5428 8.1476
H 6.3858 7.7937 8.1476
H 6.4837 5.1168 6.6000
H 6.4837 7.2197 6.6000
H 6.5497 6.1682 2.2026
H 6.5808 2.0561 8.1546
H 6.6469 1.0046 3.7571
H 6.6469 3.1076 3.7571
H 6.7447 0.4306 2.2095
H 6.7447 3.6816 2.2095
H 7.6586 2.0561 7.0318
H 7.7031 4.3090 3.4175
H 7.7031 8.0274 3.4175
H 7.7911 1.2279 0.3585
H 7.7911 2.8842 0.3585
H 9.0630 4.5702 8.2760
H 9.0630 7.7663 8.2760
H 9.1013 4.9663 6.6617
H 9.1013 7.3701 6.6617
H 9.1894 2.0561 0.1683
H 9.5420 4.3873 2.0848
H 9.5420 7.9492 2.0848
H 10.1538 0.2751 7.2633
H 10.1538 3.8370 7.2633
H 10.5064 6.1682 5.3468
H 10.5945 0.8542 1.4832
H 10.5945 3.2580 1.4832
H 10.6328 0.4580 3.0974
H 10.6328 3.6542 3.0974
H 11.9047 5.3401 5.5370
H 11.9047 6.9964 5.5370
H 11.9927 0.1969 8.5961
H 11.9927 3.9153 8.5961
H 12.0372 6.1682 1.8533
H 12.9511 4.5428 7.3881
H 12.9511 7.7937 7.3881
H 13.0489 5.1168 8.9357
H 13.0489 7.2197 8.9357
H 13.1150 6.1682 2.9760
S 1.9403 6.1682 5.1344
S 2.5740 2.0561 0.2638
S 3.9913 6.1682 5.4424
S 4.6249 2.0561 10.3129
S 8.5056 6.1682 0.0442
S 9.1393 2.0561 4.9147
S 10.5565 6.1682 10.0933
S 11.1902 2.0561 5.2227
N 0.7420 0.6732 2.1441
N 0.7420 3.4390 2.1441
N 1.7363 2.0561 4.4894
N 3.1271 4.7313 8.0603
N 3.1271 7.6052 8.0603
N 3.4382 0.6192 2.8818
N 3.4382 3.4930 2.8818
N 4.8290 6.1682 9.6679
N 5.8233 4.7853 7.3227
N 5.8233 7.5512 7.3227
N 7.3072 0.6732 3.0344
N 7.3072 3.4390 3.0344
N 8.3015 2.0561 0.6892
N 9.6923 4.7313 7.4753
N 9.6923 7.6052 7.4753
N 10.0035 0.6192 2.2968
N 10.0035 3.4930 2.2968
N 11.3943 6.1682 5.8677
N 12.3886 4.7853 8.2130
N 12.3886 7.5512 8.2130
Cl 1.3537 6.1682 0.1212
Cl 5.2116 2.0561 5.2998
Cl 7.9190 6.1682 5.0573
Cl 11.7768 2.0561 10.2359
O 0.9860 2.0561 7.5323
O 1.3546 4.9441 5.7288
O 1.3546 7.3924 5.7288
O 1.8360 6.1682 3.6516
O 4.7292 2.0561 8.8301
O 5.2107 0.8320 0.5503
O 5.2107 3.2802 0.5503
O 5.5792 6.1682 2.3537
O 7.5513 2.0561 8.0034
O 7.9198 4.9441 9.8068
O 7.9198 7.3924 9.8068
O 8.4013 6.1682 1.5270
O 11.2945 2.0561 6.7055
O 11.7760 0.8320 4.6283
O 11.7760 3.2802 4.6283
O 12.1445 6.1682 2.8248